(1)
{
  "formula": "CsScGaCu2",
  "functional": "PBE",
  "state": "relaxed",
  "cell": [[5.066, 0.000, 0.000], [0.000, 5.066, 0.000], [0.000, 0.000, 6.284]],
  "species": ["Cs", "Sc", "Ga", "Cu", "Cu"],
  "frac_coords": [[0.000, 0.000, 0.000], [0.000, 0.000, 0.500], [0.500, 0.500, 0.000], [0.000, 0.500, 0.500], [0.500, 0.000, 0.500]],
  "formation_energy_mev_per_atom": 1037,
  "total_magnetization_mub_per_fu": 0.000,
  "e_tot_ev_per_cell": -13.217,
  "dos_ef_per_ev_fu": 6.442
}

(2)
{
  "formula": "CsTa2GaCu",
  "functional": "PBE",
  "state": "relaxed",
  "cell": [[5.060, 0.000, 0.000], [0.000, 5.060, 0.000], [0.000, 0.000, 4.601]],
  "species": ["Cs", "Ta", "Ta", "Ga", "Cu"],
  "frac_coords": [[0.000, 0.000, 0.000], [0.000, 0.500, 0.500], [0.500, 0.000, 0.500], [0.500, 0.500, 0.500], [0.500, 0.500, 0.000]],
  "formation_energy_mev_per_atom": 1622,
  "total_magnetization_mub_per_fu": 0.000,
  "e_tot_ev_per_cell": -23.573,
  "dos_ef_per_ev_fu": 6.834
}